Material: Ti3Se2S4
Method: DFT, GGA-PBEsol
State: relaxed

Calculated values
As for the space-group type: P3m1 (156). As for the crystal system: trigonal.

Structure (POSCAR):
```
Ti3Se2S4
1.0
3.383 0.000 0.000
-1.691 2.929 0.000
0.000 0.000 17.301
S Se Ti
4 2 3
Direct
0.000 0.000 0.912 S
0.000 0.000 0.588 S
0.000 0.000 0.250 S
0.667 0.333 0.751 S
0.667 0.333 0.424 Se
0.667 0.333 0.085 Se
0.333 0.667 0.991 Ti
0.333 0.667 0.670 Ti
0.333 0.667 0.329 Ti
```

---

Material: W3Se4S2
Method: DFT, GGA-PBEsol
State: relaxed

Calculated values
As for the space-group type: P-6m2 (187). As for the crystal system: hexagonal.

Structure (POSCAR):
```
W3Se4S2
1.0
-0.752 -2.708 -1.585
-0.560 0.223 3.169
-18.476 7.349 -3.784
W Se S
3 4 2
Direct
0.000 0.000 0.316 W
0.000 0.000 0.684 W
0.667 0.333 0.000 W
0.667 0.333 0.400 Se
0.667 0.333 0.768 Se
0.667 0.333 0.232 Se
0.667 0.333 0.600 Se
0.000 0.000 0.924 S
0.000 0.000 0.076 S
```

---

Material: WSe3S
Method: DFT, GGA-PBEsol
State: relaxed

Calculated values
As for the space-group type: Pm-3m (221). As for the crystal system: cubic.

Structure (POSCAR):
```
WSe3S
1.0
-4.745 0.690 -0.458
-0.776 -2.769 3.864
0.290 3.880 2.839
S Se W
1 3 1
Direct
0.500 0.500 0.500 S
0.000 0.500 0.000 Se
0.000 0.000 0.500 Se
0.500 0.000 0.000 Se
0.000 0.000 0.000 W
```

---

Material: W2SeS3
Method: DFT, GGA-PBEsol
State: relaxed

Calculated values
As for the space-group type: P-6m2 (187). As for the crystal system: hexagonal.

Structure (POSCAR):
```
W2SeS3
1.0
-0.722 -3.087 0.148
3.038 0.921 -0.003
-0.369 1.299 25.361
S Se W
6 2 4
Direct
0.667 0.333 0.688 S
0.333 0.667 0.057 S
0.333 0.667 0.564 S
0.333 0.667 0.934 S
0.333 0.667 0.442 S
0.667 0.333 0.811 S
0.667 0.333 0.182 Se
0.667 0.333 0.317 Se
0.667 0.333 0.996 W
0.667 0.333 0.503 W
0.333 0.667 0.749 W
0.333 0.667 0.249 W
```

---

Material: W3Se4S2
Method: DFT, GGA-PBEsol
State: relaxed

Calculated values
As for the space-group type: P3m1 (156). As for the crystal system: trigonal.

Structure (POSCAR):
```
W3Se4S2
1.0
3.226 0.000 0.000
-1.613 2.794 0.000
0.000 0.000 20.320
W Se S
3 4 2
Direct
0.000 0.000 0.972 W
0.000 0.000 0.331 W
0.667 0.333 0.656 W
0.000 0.000 0.573 Se
0.667 0.333 0.414 Se
0.667 0.333 0.248 Se
0.000 0.000 0.739 Se
0.667 0.333 0.048 S
0.667 0.333 0.896 S
```

---

Material: W3Se2S4
Method: DFT, GGA-PBEsol
State: relaxed

Calculated values
As for the space-group type: P-6m2 (187). As for the crystal system: hexagonal.

Structure (POSCAR):
```
W3Se2S4
1.0
3.184 0.000 0.000
-1.592 2.758 0.000
0.000 0.000 19.900
W Se S
3 2 4
Direct
0.000 0.000 0.323 W
0.000 0.000 0.677 W
0.667 0.333 0.000 W
0.000 0.000 0.914 Se
0.000 0.000 0.086 Se
0.667 0.333 0.401 S
0.667 0.333 0.755 S
0.667 0.333 0.245 S
0.667 0.333 0.599 S
```

---

Material: W3Se2S4
Method: DFT, GGA-PBEsol
State: relaxed

Calculated values
As for the space-group type: P3m1 (156). As for the crystal system: trigonal.

Structure (POSCAR):
```
W3Se2S4
1.0
-2.908 0.274 -1.267
2.497 -0.636 -1.870
-2.985 -19.501 2.641
W Se S
3 2 4
Direct
0.000 0.000 0.969 W
0.000 0.000 0.334 W
0.667 0.333 0.656 W
0.667 0.333 0.420 Se
0.667 0.333 0.248 Se
0.000 0.000 0.578 S
0.667 0.333 0.047 S
0.667 0.333 0.891 S
0.000 0.000 0.734 S
```

---

Material: WSeS
Method: DFT, GGA-PBEsol
State: relaxed

Calculated values
As for the space-group type: P-3m1 (164). As for the crystal system: trigonal.

Structure (POSCAR):
```
WSeS
1.0
-2.299 1.925 -1.132
1.629 -1.900 -2.002
-20.079 -21.561 4.119
W Se S
4 4 4
Direct
0.667 0.333 0.322 W
0.667 0.333 0.895 W
0.333 0.667 0.105 W
0.333 0.667 0.678 W
0.667 0.333 0.621 Se
0.333 0.667 0.379 Se
0.333 0.667 0.264 Se
0.667 0.333 0.736 Se
0.667 0.333 0.053 S
0.333 0.667 0.947 S
0.333 0.667 0.843 S
0.667 0.333 0.157 S
```

---

Material: YSe2S
Method: DFT, GGA-PBEsol
State: relaxed

Calculated values
As for the space-group type: R-3m (166). As for the crystal system: trigonal.

Structure (POSCAR):
```
YSe2S
1.0
3.586 0.000 0.000
1.793 3.106 0.000
1.793 1.035 8.630
Y S Se
1 1 2
Direct
0.000 0.000 0.000 Y
0.500 0.500 0.500 S
0.894 0.894 0.317 Se
0.106 0.106 0.683 Se
```

---

Material: Zn5SeS4
Method: DFT, GGA-PBEsol
State: relaxed

Calculated values
As for the space-group type: I-4m2 (119). As for the crystal system: tetragonal.

Structure (POSCAR):
```
Zn5SeS4
1.0
-3.586 0.927 0.961
-1.081 -0.397 -3.649
-0.441 -13.316 3.584
Zn Se S
5 1 4
Direct
0.696 0.696 0.391 Zn
0.304 0.304 0.609 Zn
0.902 0.902 0.805 Zn
0.500 0.500 0.000 Zn
0.098 0.098 0.195 Zn
0.750 0.250 0.500 Se
0.353 0.853 0.707 S
0.951 0.451 0.902 S
0.549 0.049 0.098 S
0.147 0.647 0.293 S
```

---

Material: Zn2SeS
Method: DFT, GGA-PBEsol
State: relaxed

Calculated values
As for the space-group type: I-42d (122). The offset from the most stable computed form is 0 meV/atom. As for the crystal system: tetragonal.

Structure (POSCAR):
```
Zn2SeS
1.0
-3.137 -1.452 -4.272
4.325 0.515 -3.351
0.690 -4.801 4.660
Zn S Se
4 2 2
Direct
0.858 0.375 0.250 Zn
0.392 0.875 0.250 Zn
0.625 0.608 0.750 Zn
0.125 0.142 0.750 Zn
0.750 0.250 0.500 S
0.500 0.500 0.000 S
0.250 0.750 0.500 Se
0.000 0.000 0.000 Se
```

---

Material: Zn5Se4S
Method: DFT, GGA-PBEsol
State: relaxed

Calculated values
As for the space-group type: R3m (160). As for the crystal system: trigonal.

Structure (POSCAR):
```
Zn5Se4S
1.0
-1.812 -0.067 -3.503
-1.480 -3.382 -1.390
-15.157 2.039 5.580
Zn Se S
5 4 1
Direct
0.998 0.998 0.007 Zn
0.602 0.602 0.193 Zn
0.201 0.201 0.397 Zn
0.800 0.800 0.600 Zn
0.399 0.399 0.803 Zn
0.552 0.552 0.345 Se
0.151 0.151 0.548 Se
0.750 0.750 0.751 Se
0.349 0.349 0.954 Se
0.950 0.950 0.151 S
```

---

Material: Zn2SeS
Method: DFT, GGA-PBEsol
State: relaxed

Calculated values
As for the space-group type: R3m (160). The offset from the most stable computed form is 7 meV/atom. As for the crystal system: trigonal.

Structure (POSCAR):
```
Zn2SeS
1.0
-1.725 -0.213 3.475
-2.173 -3.091 0.903
3.827 -4.014 3.826
Zn S Se
2 1 1
Direct
0.004 0.004 0.988 Zn
0.496 0.496 0.511 Zn
0.125 0.125 0.624 S
0.624 0.624 0.127 Se
```

---

| no. | energy (eV/atom) | formation energy from raw total energies (eV per atom) |
| --- | --- | --- |
| 1 | -6.84 | -1.265 |
| 2 | -7.96 | -0.676 |
| 3 | -5.40 | 0.549 |
| 4 | -8.25 | -0.812 |
| 5 | -7.97 | -0.677 |
| 6 | -8.19 | -0.782 |
| 7 | -8.19 | -0.781 |
| 8 | -8.07 | -0.727 |
| 9 | -4.63 | 0.097 |
| 10 | -3.71 | -0.777 |
| 11 | -3.58 | -0.735 |
| 12 | -3.46 | -0.690 |
| 13 | -3.58 | -0.728 |